Entry from Alexandria: a geometry-optimized YSn5 structure (PBE).

**DFT formation energy**: -0.244 eV per atom
**V**: 26.91 A^3/atom
**E above lowest polymorph**: 0.0073 eV/atom

a = 4.622 Å, b = 15.342 Å, c = 4.554 Å
α = 90.00°, β = 90.00°, γ = 90.00°
Space group Cmmm (No. 65)
Unique sites:
Y1 0.000 0.000 0.000 (multiplicity 2)
Sn1 0.000 0.169 0.500 (multiplicity 4)
Sn2 0.000 0.342 0.000 (multiplicity 4)
Sn3 0.000 0.500 0.500 (multiplicity 2)

---

Entry from Alexandria: a geometry-optimized V2SiRu5 structure (PBE).

**V**: 13.48 A^3/atom
**Total energy**: -9.14 eV/atom

a = 5.256 Å, b = 10.090 Å, c = 4.068 Å
α = 90.00°, β = 90.00°, γ = 90.00°
Space group Pbam (No. 55)
Unique sites:
V1 0.147 0.140 0.000 (multiplicity 4)
Si1 0.000 0.500 0.500 (multiplicity 2)
Ru1 0.000 0.000 0.500 (multiplicity 2)
Ru2 0.121 0.735 0.500 (multiplicity 4)
Ru3 0.173 0.391 0.000 (multiplicity 4)

---

Entry from Alexandria: a geometry-optimized CaPr6Tl5 structure (PBE).

**DFT formation energy**: -0.315 eV per atom
**V**: 31.00 A^3/atom

a = 5.219 Å, b = 9.112 Å, c = 15.647 Å
α = 90.00°, β = 90.00°, γ = 90.00°
Space group Immm (No. 71)
Unique sites:
Ca1 0.000 0.000 0.000 (multiplicity 2)
Pr1 0.000 0.229 0.500 (multiplicity 4)
Pr2 0.000 0.263 0.173 (multiplicity 8)
Tl1 0.000 0.000 0.327 (multiplicity 4)
Tl2 0.000 0.500 0.000 (multiplicity 2)
Tl3 0.000 0.500 0.350 (multiplicity 4)